#A
VASP calculation (PBE-GGA) on an optimized crystal structure of BeAlBr.

Unit cell a=5.924 b=5.924 c=5.924 alpha=146.75 beta=146.75 gamma=47.74
Atoms (fractional coordinates):
Be: 0.000 0.000 0.000
Al: 0.429 0.429 0.000
Br: 0.198 0.198 0.000

## Properties
For the magnetization, the calculation gives 0.0 μB per formula unit.

#B
VASP calculation (PBE-GGA) on an optimized crystal structure of BeAlBr.

Unit cell a=3.891 b=4.632 c=8.956 alpha=95.51 beta=92.84 gamma=113.62
Atoms (fractional coordinates):
Be: 0.039 0.112 0.402
Be: 0.961 0.888 0.598
Al: 0.347 0.688 0.442
Al: 0.653 0.312 0.558
Br: 0.324 0.157 0.798
Br: 0.676 0.843 0.202

## Properties
For the magnetization, the calculation gives 0.0 μB per formula unit.

#C
VASP calculation (PBE-GGA) on an optimized crystal structure of BeAlBr.

Unit cell a=4.094 b=4.758 c=7.989 alpha=90.00 beta=90.13 gamma=90.00
Atoms (fractional coordinates):
Be: 0.006 0.000 0.035
Be: 0.994 0.500 0.965
Al: 0.496 0.233 0.941
Al: 0.504 0.733 0.059
Br: 0.240 0.957 0.302
Br: 0.760 0.457 0.698

## Properties
For the magnetization, the calculation gives 0.0 μB per formula unit.

#D
VASP calculation (PBE-GGA) on an optimized crystal structure of BeAlBr.

Unit cell a=5.663 b=5.663 c=5.408 alpha=100.86 beta=100.86 gamma=42.06
Atoms (fractional coordinates):
Be: 0.013 0.987 0.500
Be: 0.987 0.013 0.000
Al: 0.426 0.439 0.221
Al: 0.439 0.426 0.721
Br: 0.428 0.973 0.593
Br: 0.973 0.428 0.093

## Properties
For the magnetization, the calculation gives 0.0 μB per formula unit.

In terms of stability, #C leads; the second structure lies 0.6 kJ/mol of atoms higher.

#A
VASP calculation (PBE-GGA) on an optimized crystal structure of BeAlBr.

Unit cell a=4.601 b=4.601 c=4.601 alpha=60.00 beta=60.00 gamma=60.00
Atoms (fractional coordinates):
Be: 0.000 0.000 0.000
Al: 0.750 0.750 0.750
Br: 0.250 0.250 0.250

## Properties
For the magnetization, the calculation gives 0.0 μB per formula unit.

#B
VASP calculation (PBE-GGA) on an optimized crystal structure of BeAlBr.

Unit cell a=4.715 b=4.751 c=8.413 alpha=90.24 beta=90.47 gamma=119.67
Atoms (fractional coordinates):
Be: 0.000 0.000 0.000
Be: 0.006 0.500 0.959
Al: 0.505 0.498 0.007
Al: 0.506 0.999 0.889
Br: 0.449 0.163 0.635
Br: 0.776 0.816 0.248

## Properties
For the magnetization, the calculation gives 0.0 μB per formula unit.

#C
VASP calculation (PBE-GGA) on an optimized crystal structure of BeAlBr.

Unit cell a=8.299 b=7.911 c=3.396 alpha=84.40 beta=71.57 gamma=24.03
Atoms (fractional coordinates):
Be: 0.000 0.000 0.000
Al: 0.374 0.374 0.626
Br: 0.595 0.595 0.405

## Properties
For the magnetization, the calculation gives 0.0 μB per formula unit.

#D
VASP calculation (PBE-GGA) on an optimized crystal structure of BeAlBr.

Unit cell a=3.393 b=3.397 c=5.747 alpha=103.69 beta=103.97 gamma=96.47
Atoms (fractional coordinates):
Be: 0.000 0.000 0.000
Al: 0.427 0.428 0.841
Br: 0.072 0.057 0.392

## Properties
For the magnetization, the calculation gives 0.0 μB per formula unit.

In terms of stability, #B leads; the second structure lies 19.8 kJ/mol of atoms higher.

#A
VASP calculation (PBE-GGA) on an optimized crystal structure of BeAl3Br.

Unit cell a=4.619 b=4.619 c=4.619 alpha=90.00 beta=90.00 gamma=90.00
Atoms (fractional coordinates):
Be: 0.000 0.000 0.000
Al: 0.000 0.000 0.500
Al: 0.000 0.500 0.000
Al: 0.500 0.000 0.000
Br: 0.500 0.500 0.500

## Properties
For the magnetization, the calculation gives 0.0 μB per formula unit.

#B
VASP calculation (PBE-GGA) on an optimized crystal structure of BeAl3Br.

Unit cell a=5.310 b=5.310 c=5.310 alpha=90.00 beta=90.00 gamma=90.00
Atoms (fractional coordinates):
Be: 0.000 0.000 0.000
Al: 0.000 0.500 0.500
Al: 0.500 0.000 0.500
Al: 0.500 0.500 0.000
Br: 0.500 0.500 0.500

## Properties
For the magnetization, the calculation gives 0.0 μB per formula unit.

In terms of stability, #A leads; the second structure lies 102.8 kJ/mol of atoms higher.

#A
VASP calculation (PBE-GGA) on an optimized crystal structure of BeAl2Br.

Unit cell a=5.513 b=5.513 c=5.513 alpha=147.40 beta=123.25 gamma=67.00
Atoms (fractional coordinates):
Be: 0.000 0.000 0.000
Al: 0.511 0.511 0.000
Al: 0.791 0.291 0.500
Br: 0.184 0.684 0.500

## Properties
For the magnetization, the calculation gives 0.0 μB per formula unit.

#B
VASP calculation (PBE-GGA) on an optimized crystal structure of BeAl2Br.

Unit cell a=5.186 b=5.186 c=3.093 alpha=105.78 beta=105.78 gamma=85.82
Atoms (fractional coordinates):
Be: 0.000 0.000 0.000
Al: 0.000 0.500 0.500
Al: 0.500 0.000 0.500
Br: 0.500 0.500 0.000

## Properties
For the magnetization, the calculation gives 0.0 μB per formula unit.

#C
VASP calculation (PBE-GGA) on an optimized crystal structure of BeAl2Br.

Unit cell a=3.193 b=3.193 c=9.940 alpha=90.00 beta=90.00 gamma=121.48
Atoms (fractional coordinates):
Be: 0.000 0.000 0.000
Al: 0.000 0.000 0.442
Al: 0.500 0.500 0.204
Br: 0.500 0.500 0.848

## Properties
For the magnetization, the calculation gives 0.0 μB per formula unit.

In terms of stability, #C leads; the second structure lies 8.0 kJ/mol of atoms higher.

#A
VASP calculation (PBE-GGA) on an optimized crystal structure of BeAl2Br.

Unit cell a=7.057 b=7.057 c=7.057 alpha=29.13 beta=29.13 gamma=29.13
Atoms (fractional coordinates):
Be: 0.000 0.000 0.000
Al: 0.274 0.274 0.274
Al: 0.726 0.726 0.726
Br: 0.500 0.500 0.500

## Properties
For the magnetization, the calculation gives 0.0 μB per formula unit.

#B
VASP calculation (PBE-GGA) on an optimized crystal structure of BeAl2Br.

Unit cell a=5.382 b=5.382 c=5.382 alpha=135.67 beta=135.67 gamma=64.48
Atoms (fractional coordinates):
Be: 0.000 0.000 0.000
Al: 0.250 0.750 0.500
Al: 0.750 0.250 0.500
Br: 0.500 0.500 0.000

## Properties
For the magnetization, the calculation gives 0.0 μB per formula unit.

In terms of stability, #A leads; the second structure lies 41.7 kJ/mol of atoms higher.

#A
VASP calculation (PBE-GGA) on an optimized crystal structure of BeAlBr3.

Unit cell a=4.912 b=4.912 c=4.912 alpha=90.00 beta=90.00 gamma=90.00
Atoms (fractional coordinates):
Be: 0.000 0.000 0.000
Al: 0.500 0.500 0.500
Br: 0.000 0.000 0.500
Br: 0.000 0.500 0.000
Br: 0.500 0.000 0.000

## Properties
For the magnetization, the calculation gives 0.0 μB per formula unit.

#B
VASP calculation (PBE-GGA) on an optimized crystal structure of BeAlBr3.

Unit cell a=5.127 b=5.127 c=5.127 alpha=90.00 beta=90.00 gamma=90.00
Atoms (fractional coordinates):
Be: 0.000 0.000 0.000
Al: 0.500 0.500 0.500
Br: 0.000 0.500 0.500
Br: 0.500 0.000 0.500
Br: 0.500 0.500 0.000

## Properties
For the magnetization, the calculation gives 0.3 μB per formula unit.

In terms of stability, #A leads; the second structure lies 37.3 kJ/mol of atoms higher.